! YZrAs2 | Alexandria via LeMat-Bulk | PBE | relaxed; values from VASP
&SYSTEM
  ibrav = 0, nat = 4, ntyp = 3
/
ATOMIC_SPECIES
Y 88.91 Y.upf
As 74.92 As.upf
Zr 91.22 Zr.upf
CELL_PARAMETERS angstrom
6.1196 0.0026 -0.0026
4.9032 3.6617 -0.0026
0.0023 0.0008 4.0405
ATOMIC_POSITIONS crystal
Y 0.5057 0.5057 0.6253
As 0.7597 0.7597 0.6247
Zr 0.2325 0.2325 0.1247
As 0.0020 0.0020 0.1253
! space group = Amm2 (38)
! energy = -0.52539 Ry per atom
! calculated density = 6.1 g/cm3
! calculated formation energy = -1.07 eV per atom

***

! Tm2ZnCu4Ge3 | Alexandria via LeMat-Bulk | PBE | relaxed; values from VASP
&SYSTEM
  ibrav = 0, nat = 10, ntyp = 4
/
ATOMIC_SPECIES
Cu 63.55 Cu.upf
Ge 72.64 Ge.upf
Zn 65.41 Zn.upf
Tm 168.93 Tm.upf
CELL_PARAMETERS angstrom
-0.7467 3.6367 1.5546
-2.5254 -1.6560 2.6608
7.7770 -1.2310 6.6151
ATOMIC_POSITIONS crystal
Cu 0.5000 0.5000 0.0000
Ge 0.0000 0.0000 0.5000
Cu 0.0000 0.0000 0.0000
Zn 0.5000 0.5000 0.5000
Ge 0.0000 0.5000 0.1364
Ge 0.5000 0.0000 0.8636
Tm 0.0000 0.5000 0.7573
Cu 0.5000 0.0000 0.6367
Tm 0.5000 0.0000 0.2427
Cu 0.0000 0.5000 0.3633
! space group = P-4m2 (115)
! energy = -0.32971 Ry per atom
! calculated density = 8.7 g/cm3
! calculated formation energy = -0.44 eV per atom

***

! PmPaRh | Alexandria via LeMat-Bulk | PBE | relaxed; values from VASP
&SYSTEM
  ibrav = 0, nat = 3, ntyp = 3
/
ATOMIC_SPECIES
Pm 145.00 Pm.upf
Rh 102.91 Rh.upf
Pa 231.04 Pa.upf
CELL_PARAMETERS angstrom
-3.8090 -2.0849 2.0911
-2.3353 -3.5637 -2.2528
0.3285 -4.5168 1.6490
ATOMIC_POSITIONS crystal
Pm 0.5000 0.5000 0.5000
Rh 0.2500 0.2500 0.2500
Pa 0.0000 0.0000 0.0000
! space group = F-43m (216)
! energy = -0.53676 Ry per atom
! calculated density = 10.0 g/cm3
! calculated formation energy = -0.10 eV per atom